(1)
Computed, not measured: NaCaTmAl after structural relaxation at the PBE-GGA level of DFT.

## Properties
As for the space group: F-43m, No. 216. The total energy comes out at -2.885 eV/atom. For the formation enthalpy at 0 K, the calculation gives -2 meV/atom. The value obtained for the density of states at the Fermi level is 0.920 states/eV/atom.

Cell lengths 5.359, 5.359, 5.359 Å; angles 60.00, 60.00, 60.00 degrees
Positions (direct):
Na 0.000 0.000 0.000
Ca 0.750 0.750 0.750
Tm 0.250 0.250 0.250
Al 0.500 0.500 0.500


(2)
Computed, not measured: SrHf2C after structural relaxation at the PBE-GGA level of DFT.

## Properties
As for the space group: Fd-3m, No. 227. The total energy comes out at -7.419 eV/atom. For the formation enthalpy at 0 K, the calculation gives 284 meV/atom. The value obtained for the density of states at the Fermi level is 0.913 states/eV/atom.

Cell lengths 6.857, 6.857, 6.857 Å; angles 60.00, 60.00, 60.00 degrees
Positions (direct):
Sr 0.125 0.125 0.125
Sr 0.875 0.875 0.875
Hf 0.000 0.500 0.500
Hf 0.500 0.000 0.500
Hf 0.500 0.500 0.000
Hf 0.500 0.500 0.500
C 0.375 0.375 0.375
C 0.625 0.625 0.625


(3)
Computed, not measured: CaLa4Ce3N8 after structural relaxation at the PBE-GGA level of DFT.

## Properties
As for the space group: R-3m, No. 166. The total energy comes out at -7.982 eV/atom. The calculation puts the raw formation energy at -1.35 eV/atom. The value obtained for the density of states at the Fermi level is 0.513 states/eV/atom.

Cell lengths 7.306, 7.306, 7.306 Å; angles 59.76, 59.76, 59.76 degrees
Positions (direct):
Ca 0.000 0.000 0.000
La 0.000 0.000 0.500
La 0.000 0.500 0.000
La 0.500 0.000 0.000
La 0.500 0.500 0.500
Ce 0.000 0.500 0.500
Ce 0.500 0.000 0.500
Ce 0.500 0.500 0.000
N 0.251 0.251 0.731
N 0.251 0.731 0.251
N 0.257 0.257 0.257
N 0.269 0.749 0.749
N 0.731 0.251 0.251
N 0.743 0.743 0.743
N 0.749 0.269 0.749
N 0.749 0.749 0.269


(4)
Computed, not measured: SrLi2GeIr after structural relaxation at the PBE-GGA level of DFT.

## Properties
As for the space group: P4/mmm, No. 123. The total energy comes out at -4.114 eV/atom. For the formation enthalpy at 0 K, the calculation gives -316 meV/atom. The value obtained for the density of states at the Fermi level is 0.269 states/eV/atom.

Cell lengths 4.847, 4.847, 4.718 Å; angles 90.00, 90.00, 90.00 degrees
Positions (direct):
Sr 0.000 0.000 0.000
Li 0.000 0.500 0.500
Li 0.500 0.000 0.500
Ge 0.500 0.500 0.000
Ir 0.500 0.500 0.500